P.
Below is LaTcIO2 after structural relaxation, with properties calculated at the PBE level. Values from VASP.

```
&SYSTEM
  ibrav = 0, nat = 5, ntyp = 4
/
ATOMIC_SPECIES
I 126.90 I.upf
Tc 98.00 Tc.upf
O 16.00 O.upf
La 138.91 La.upf
CELL_PARAMETERS angstrom
-0.129 0.341 4.396
-2.361 -3.720 0.219
5.720 -3.603 0.447
ATOMIC_POSITIONS crystal
I 0.000 0.000 0.500
Tc 0.500 0.500 0.500
O 0.000 0.500 0.000
O 0.500 0.000 0.000
La 0.000 0.000 0.000
```

Values from the calculation:
N(E_F) in states/eV/f.u.: 4.76
Total moment in μB/atom: 0.9301


Q.
Below is LaTcIO2 after structural relaxation, with properties calculated at the PBE level. Values from VASP.

```
&SYSTEM
  ibrav = 0, nat = 5, ntyp = 4
/
ATOMIC_SPECIES
I 126.90 I.upf
Tc 98.00 Tc.upf
O 16.00 O.upf
La 138.91 La.upf
CELL_PARAMETERS angstrom
4.210 0.000 0.000
0.000 5.310 0.000
0.000 0.000 4.210
ATOMIC_POSITIONS crystal
I 0.000 0.500 0.000
Tc 0.000 0.000 0.000
O 0.000 0.000 0.500
O 0.500 0.000 0.000
La 0.500 0.500 0.500
```

Values from the calculation:
N(E_F) in states/eV/f.u.: 4.48
Total moment in μB/atom: 0.0015


We find Q to be the most stable, with the next structure 0.215 eV/atom higher.


P.
Below is LaTcI2O after structural relaxation, with properties calculated at the PBE level. Values from VASP.

```
&SYSTEM
  ibrav = 0, nat = 5, ntyp = 4
/
ATOMIC_SPECIES
I 126.90 I.upf
Tc 98.00 Tc.upf
O 16.00 O.upf
La 138.91 La.upf
CELL_PARAMETERS angstrom
-5.709 -0.285 0.591
0.301 -5.737 0.137
0.386 0.111 3.785
ATOMIC_POSITIONS crystal
I 0.000 0.500 0.000
I 0.500 0.000 0.000
Tc 0.000 0.000 0.000
O 0.000 0.000 0.500
La 0.500 0.500 0.500
```

Values from the calculation:
N(E_F) in states/eV/f.u.: 4.50
Total moment in μB/atom: 0.0001


Q.
Below is LaTcI2O after structural relaxation, with properties calculated at the PBE level. Values from VASP.

```
&SYSTEM
  ibrav = 0, nat = 5, ntyp = 4
/
ATOMIC_SPECIES
I 126.90 I.upf
Tc 98.00 Tc.upf
O 16.00 O.upf
La 138.91 La.upf
CELL_PARAMETERS angstrom
-1.700 -4.396 -4.511
6.217 -1.921 -0.471
-0.664 -2.903 3.079
ATOMIC_POSITIONS crystal
I 0.000 0.500 0.000
I 0.500 0.000 0.000
Tc 0.500 0.500 0.500
O 0.000 0.000 0.500
La 0.000 0.000 0.000
```

Values from the calculation:
N(E_F) in states/eV/f.u.: 3.03
Total moment in μB/atom: 0.9542


We find P to be the most stable, with the next structure 0.199 eV/atom higher.


P.
Below is LaTeI2O after structural relaxation, with properties calculated at the PBE level. Values from VASP.

```
&SYSTEM
  ibrav = 0, nat = 5, ntyp = 4
/
ATOMIC_SPECIES
I 126.90 I.upf
Te 127.60 Te.upf
O 16.00 O.upf
La 138.91 La.upf
CELL_PARAMETERS angstrom
5.412 0.000 0.000
0.000 5.412 0.000
0.000 0.000 4.590
ATOMIC_POSITIONS crystal
I 0.000 0.500 0.000
I 0.500 0.000 0.000
Te 0.000 0.000 0.500
O 0.000 0.000 0.000
La 0.500 0.500 0.500
```

Values from the calculation:
N(E_F) in states/eV/f.u.: 3.81
Total moment in μB/atom: 0.0003


Q.
Below is LaTeI2O after structural relaxation, with properties calculated at the PBE level. Values from VASP.

```
&SYSTEM
  ibrav = 0, nat = 5, ntyp = 4
/
ATOMIC_SPECIES
I 126.90 I.upf
Te 127.60 Te.upf
O 16.00 O.upf
La 138.91 La.upf
CELL_PARAMETERS angstrom
6.556 0.000 0.000
0.000 6.556 0.000
0.000 0.000 4.254
ATOMIC_POSITIONS crystal
I 0.000 0.500 0.000
I 0.500 0.000 0.000
Te 0.500 0.500 0.500
O 0.000 0.000 0.500
La 0.000 0.000 0.000
```

Values from the calculation:
N(E_F) in states/eV/f.u.: 4.77
Total moment in μB/atom: 0.1301


We find Q to be the most stable, with the next structure 0.512 eV/atom higher.


P.
Below is LaTeI2O after structural relaxation, with properties calculated at the PBE level. Values from VASP.

```
&SYSTEM
  ibrav = 0, nat = 5, ntyp = 4
/
ATOMIC_SPECIES
I 126.90 I.upf
Te 127.60 Te.upf
O 16.00 O.upf
La 138.91 La.upf
CELL_PARAMETERS angstrom
-4.404 -4.361 0.111
0.373 -0.219 6.183
-4.544 4.600 0.438
ATOMIC_POSITIONS crystal
I 0.000 0.500 0.000
I 0.500 0.000 0.000
Te 0.000 0.000 0.500
O 0.500 0.500 0.500
La 0.000 0.000 0.000
```

Values from the calculation:
N(E_F) in states/eV/f.u.: 20.46
Total moment in μB/atom: 0.2640


Q.
Below is LaTeI2O after structural relaxation, with properties calculated at the PBE level. Values from VASP.

```
&SYSTEM
  ibrav = 0, nat = 5, ntyp = 4
/
ATOMIC_SPECIES
I 126.90 I.upf
Te 127.60 Te.upf
O 16.00 O.upf
La 138.91 La.upf
CELL_PARAMETERS angstrom
6.272 0.000 0.000
0.000 6.272 0.000
0.000 0.000 4.104
ATOMIC_POSITIONS crystal
I 0.000 0.500 0.000
I 0.500 0.000 0.000
Te 0.000 0.000 0.000
O 0.000 0.000 0.500
La 0.500 0.500 0.500
```

Values from the calculation:
N(E_F) in states/eV/f.u.: 5.65
Total moment in μB/atom: 0.0957


We find Q to be the most stable, with the next structure 0.473 eV/atom higher.


P.
Below is LaTe2IO after structural relaxation, with properties calculated at the PBE level. Values from VASP.

```
&SYSTEM
  ibrav = 0, nat = 5, ntyp = 4
/
ATOMIC_SPECIES
I 126.90 I.upf
Te 127.60 Te.upf
O 16.00 O.upf
La 138.91 La.upf
CELL_PARAMETERS angstrom
-0.973 3.320 5.266
-5.997 -1.928 0.108
1.656 -4.956 3.430
ATOMIC_POSITIONS crystal
I 0.000 0.000 0.500
Te 0.000 0.500 0.000
Te 0.500 0.000 0.000
O 0.500 0.500 0.500
La 0.000 0.000 0.000
```

Values from the calculation:
N(E_F) in states/eV/f.u.: 9.47
Total moment in μB/atom: 0.7398


Q.
Below is LaTe2IO after structural relaxation, with properties calculated at the PBE level. Values from VASP.

```
&SYSTEM
  ibrav = 0, nat = 5, ntyp = 4
/
ATOMIC_SPECIES
I 126.90 I.upf
Te 127.60 Te.upf
O 16.00 O.upf
La 138.91 La.upf
CELL_PARAMETERS angstrom
-1.165 -1.473 4.258
0.409 -4.414 -1.415
5.831 0.026 1.605
ATOMIC_POSITIONS crystal
I 0.000 0.000 0.500
Te 0.000 0.500 0.000
Te 0.500 0.000 0.000
O 0.000 0.000 0.000
La 0.500 0.500 0.500
```

Values from the calculation:
N(E_F) in states/eV/f.u.: 1.33
Total moment in μB/atom: 0.0000


We find Q to be the most stable, with the next structure 0.876 eV/atom higher.


P.
Below is LaTiI2O after structural relaxation, with properties calculated at the PBE level. Values from VASP.

```
&SYSTEM
  ibrav = 0, nat = 5, ntyp = 4
/
ATOMIC_SPECIES
I 126.90 I.upf
Ti 47.87 Ti.upf
O 16.00 O.upf
La 138.91 La.upf
CELL_PARAMETERS angstrom
5.865 0.000 0.000
0.000 5.865 0.000
0.000 0.000 3.797
ATOMIC_POSITIONS crystal
I 0.000 0.500 0.000
I 0.500 0.000 0.000
Ti 0.000 0.000 0.000
O 0.000 0.000 0.500
La 0.500 0.500 0.500
```

Values from the calculation:
N(E_F) in states/eV/f.u.: 4.20
Total moment in μB/atom: 0.1862


Q.
Below is LaTiI2O after structural relaxation, with properties calculated at the PBE level. Values from VASP.

```
&SYSTEM
  ibrav = 0, nat = 5, ntyp = 4
/
ATOMIC_SPECIES
I 126.90 I.upf
Ti 47.87 Ti.upf
O 16.00 O.upf
La 138.91 La.upf
CELL_PARAMETERS angstrom
-4.916 -3.665 2.153
4.246 -4.087 2.738
-0.125 2.291 3.614
ATOMIC_POSITIONS crystal
I 0.000 0.500 0.000
I 0.500 0.000 0.000
Ti 0.500 0.500 0.500
O 0.000 0.000 0.500
La 0.000 0.000 0.000
```

Values from the calculation:
N(E_F) in states/eV/f.u.: 4.34
Total moment in μB/atom: 0.5923


We find P to be the most stable, with the next structure 0.365 eV/atom higher.


P.
Below is LaTiIO2 after structural relaxation, with properties calculated at the PBE level. Values from VASP.

```
&SYSTEM
  ibrav = 0, nat = 5, ntyp = 4
/
ATOMIC_SPECIES
I 126.90 I.upf
Ti 47.87 Ti.upf
O 16.00 O.upf
La 138.91 La.upf
CELL_PARAMETERS angstrom
-0.115 4.162 -1.522
-4.114 0.466 1.584
2.461 2.173 5.754
ATOMIC_POSITIONS crystal
I 0.000 0.000 0.500
Ti 0.500 0.500 0.500
O 0.000 0.500 0.000
O 0.500 0.000 0.000
La 0.000 0.000 0.000
```

Values from the calculation:
N(E_F) in states/eV/f.u.: 7.91
Total moment in μB/atom: 0.5120


Q.
Below is LaTiIO2 after structural relaxation, with properties calculated at the PBE level. Values from VASP.

```
&SYSTEM
  ibrav = 0, nat = 5, ntyp = 4
/
ATOMIC_SPECIES
I 126.90 I.upf
Ti 47.87 Ti.upf
O 16.00 O.upf
La 138.91 La.upf
CELL_PARAMETERS angstrom
4.207 0.000 0.000
0.000 4.207 0.000
0.000 0.000 5.358
ATOMIC_POSITIONS crystal
I 0.000 0.000 0.500
Ti 0.000 0.000 0.000
O 0.000 0.500 0.000
O 0.500 0.000 0.000
La 0.500 0.500 0.500
```

Values from the calculation:
N(E_F) in states/eV/f.u.: 3.68
Total moment in μB/atom: 0.1669


We find Q to be the most stable, with the next structure 0.512 eV/atom higher.


P.
Below is LaTlIO2 after structural relaxation, with properties calculated at the PBE level. Values from VASP.

```
&SYSTEM
  ibrav = 0, nat = 5, ntyp = 4
/
ATOMIC_SPECIES
I 126.90 I.upf
Tl 204.38 Tl.upf
O 16.00 O.upf
La 138.91 La.upf
CELL_PARAMETERS angstrom
-1.215 -2.772 -3.346
1.538 -3.524 2.360
-5.178 -0.644 2.413
ATOMIC_POSITIONS crystal
I 0.000 0.000 0.500
Tl 0.000 0.000 0.000
O 0.000 0.500 0.000
O 0.500 0.000 0.000
La 0.500 0.500 0.500
```

Values from the calculation:
N(E_F) in states/eV/f.u.: 2.28
Total moment in μB/atom: 0.0296


Q.
Below is LaTlIO2 after structural relaxation, with properties calculated at the PBE level. Values from VASP.

```
&SYSTEM
  ibrav = 0, nat = 5, ntyp = 4
/
ATOMIC_SPECIES
I 126.90 I.upf
Tl 204.38 Tl.upf
O 16.00 O.upf
La 138.91 La.upf
CELL_PARAMETERS angstrom
-2.102 -2.790 3.010
-2.742 -1.562 -3.362
4.535 -4.933 -1.407
ATOMIC_POSITIONS crystal
I 0.000 0.000 0.500
Tl 0.500 0.500 0.500
O 0.000 0.500 0.000
O 0.500 0.000 0.000
La 0.000 0.000 0.000
```

Values from the calculation:
N(E_F) in states/eV/f.u.: 4.12
Total moment in μB/atom: 0.0001


We find Q to be the most stable, with the next structure 0.896 eV/atom higher.